(1)
Here is a relaxed structure of BeVZn2 from Alexandria. Energies are from PBE.

The structure in POSCAR format:
```
BeVZn2
1.0
2.5867 0.0000 0.0000
1.2934 2.2402 0.0000
1.2934 0.7467 9.2166
Zn Be V
2 1 1
Direct
0.0946 0.0946 0.7161
0.9054 0.9054 0.2839
0.5000 0.5000 0.5000
0.0000 0.0000 0.0000
```

Output
* crystal system: trigonal
* E_tot: -3.433 eV per atom
* Fermi-level density of states: 2.53 states/eV/f.u.
* E_form: 415 meV/atom



(2)
Here is a relaxed structure of InGa3N from Alexandria. Energies are from PBE.

The structure in POSCAR format:
```
InGa3N
1.0
5.2031 0.0000 0.0000
0.0000 5.2031 0.0000
0.0000 0.0000 5.2031
Ga In N
3 1 1
Direct
0.0000 0.0000 0.5000
0.5000 0.0000 0.0000
0.0000 0.5000 0.0000
0.0000 0.0000 0.0000
0.5000 0.5000 0.5000
```

Output
* crystal system: cubic
* polymorph energy (0 for the lowest one): 1190 meV per atom
* E_tot: -2.450 eV per atom
* Fermi-level density of states: 6.14 states/eV/f.u.
* formation energy from raw total energies: 1579 meV/atom



(3)
Here is a relaxed structure of K4NaZr3Se8 from Alexandria. Energies are from PBE.

The structure in POSCAR format:
```
K4NaZr3Se8
1.0
-2.4423 7.1978 2.8129
-3.4251 -3.9953 7.2496
7.8521 -1.2965 -1.5405
Se Zr K Na
8 3 4 1
Direct
0.7338 0.7013 0.4677
0.7579 0.3008 0.0427
0.7579 0.3008 0.5158
0.2662 0.2987 0.5323
0.2421 0.6992 0.9573
0.7152 0.6992 0.9573
0.2848 0.3008 0.0427
0.2421 0.6992 0.4842
0.5000 0.5000 0.5000
0.5000 0.5000 0.0000
0.0000 0.5000 0.5000
0.5000 0.0000 0.5000
0.0000 0.0000 0.0000
0.5000 0.0000 0.0000
0.0000 0.0000 0.5000
0.0000 0.5000 0.0000
```

Output
* crystal system: trigonal
* E_tot: -5.024 eV per atom
* Fermi-level density of states: 4.71 states/eV/f.u.
* formation energy from raw total energies: -1322 meV/atom



(4)
Here is a relaxed structure of Na2La3DySe6 from Alexandria. Energies are from PBE.

The structure in POSCAR format:
```
Na2La3DySe6
1.0
-5.2177 4.7319 2.2965
-0.2949 -7.1099 2.0618
5.5989 2.2459 4.1187
La Se Na Dy
3 6 2 1
Direct
0.5000 0.5000 0.5000
0.8292 0.1708 0.5000
0.1708 0.8292 0.5000
0.4047 0.0800 0.2396
0.5953 0.9200 0.7604
0.9200 0.5953 0.7604
0.2415 0.2415 0.7540
0.7585 0.7585 0.2460
0.0800 0.4047 0.2396
0.3345 0.6655 0.0000
0.6655 0.3345 0.0000
0.0000 0.0000 0.0000
```

Output
* crystal system: monoclinic
* E_tot: -5.365 eV per atom
* Fermi-level density of states: 4.13 states/eV/f.u.
* formation energy from raw total energies: -1788 meV/atom



(5)
Here is a relaxed structure of Mg2FeAg from Alexandria. Energies are from PBE.

The structure in POSCAR format:
```
Mg2FeAg
1.0
-0.8512 -7.1882 0.2859
6.9175 -0.7388 2.0199
2.2622 -3.7643 3.8660
Ag Mg Fe
2 4 2
Direct
0.7500 0.2500 0.5000
0.0000 0.0000 0.0000
0.1288 0.6250 0.2500
0.8750 0.8712 0.7500
0.6212 0.1250 0.2500
0.3750 0.3788 0.7500
0.5000 0.5000 0.0000
0.2500 0.7500 0.5000
```

Output
* crystal system: tetragonal
* E_tot: -3.206 eV per atom
* Fermi-level density of states: 1.98 states/eV/f.u.
* E_form: 419 meV/atom



(6)
Here is a relaxed structure of La3SnSb from Alexandria. Energies are from PBE.

The structure in POSCAR format:
```
La3SnSb
1.0
4.2396 0.4985 0.7487
-0.9087 8.5353 -0.5433
0.7858 -3.2948 10.2693
Sb La Sn
2 6 2
Direct
0.6524 0.7578 0.1954
0.3476 0.2422 0.8046
0.1387 0.0599 0.2219
0.8613 0.9401 0.7781
0.9356 0.3588 0.6280
0.0644 0.6412 0.3720
0.2781 0.6567 0.9435
0.7219 0.3433 0.0565
0.4365 0.6540 0.6266
0.5635 0.3460 0.3734
```

Output
* crystal system: monoclinic
* polymorph energy (0 for the lowest one): 0 meV per atom
* E_tot: -5.310 eV per atom
* Fermi-level density of states: 4.67 states/eV/f.u.
* formation energy from raw total energies: -728 meV/atom



(7)
Here is a relaxed structure of RbZn2PdF8 from Alexandria. Energies are from PBE.

The structure in POSCAR format:
```
RbZn2PdF8
1.0
-3.5646 -3.5166 -0.5282
-1.3400 -2.8378 3.9375
-8.0268 4.0230 3.3871
F Zn Rb Pd
8 2 1 1
Direct
0.4151 0.1572 0.6536
0.8428 0.5849 0.3464
0.2259 0.8428 0.3464
0.3076 0.3076 0.0771
0.1572 0.7741 0.6536
0.6924 0.6924 0.9229
0.5849 0.2259 0.3464
0.7741 0.4151 0.6536
0.2397 0.2397 0.2809
0.7603 0.7603 0.7191
0.0000 0.0000 0.0000
0.5000 0.5000 0.5000
```

Output
* crystal system: trigonal
* E_tot: -3.829 eV per atom
* Fermi-level density of states: 7.07 states/eV/f.u.
* formation energy from raw total energies: -1855 meV/atom



(8)
Here is a relaxed structure of SrYSc from Alexandria. Energies are from PBE.

The structure in POSCAR format:
```
SrYSc
1.0
-4.4413 6.5867 -0.6082
-4.0452 5.2071 4.4723
6.4132 -4.4122 -1.6980
Sc Y Sr
1 1 1
Direct
0.9856 0.9856 0.0000
0.3541 0.3541 0.0000
0.6603 0.6603 0.0000
```

Output
* crystal system: tetragonal
* polymorph energy (0 for the lowest one): 0 meV per atom
* E_tot: -4.631 eV per atom
* Fermi-level density of states: 5.57 states/eV/f.u.
* E_form: 195 meV/atom



(9)
Here is a relaxed structure of Sc4Zn3Ag from Alexandria. Energies are from PBE.

The structure in POSCAR format:
```
Sc4Zn3Ag
1.0
4.5720 0.0000 1.3496
2.0868 4.0680 1.3496
0.0454 0.0277 8.2652
Sc Zn Ag
4 3 1
Direct
0.6231 0.6231 0.1307
0.8730 0.8730 0.3811
0.3769 0.3769 0.8693
0.1270 0.1270 0.6189
0.7503 0.7503 0.7491
0.5000 0.5000 0.5000
0.2497 0.2497 0.2509
0.0000 0.0000 0.0000
```

Output
* crystal system: trigonal
* E_tot: -4.349 eV per atom
* Fermi-level density of states: 6.06 states/eV/f.u.
* E_form: -349 meV/atom



(10)
Here is a relaxed structure of Pu5Ge3Au from Alexandria. Energies are from PBE.

The structure in POSCAR format:
```
Pu5Ge3Au
1.0
-7.6054 -2.8456 1.5652
-3.6402 -3.8197 -6.3677
1.2941 -7.9950 1.6285
Pu Ge Au
10 6 2
Direct
0.0266 0.6409 0.6717
0.5226 0.5226 0.3207
0.9734 0.3591 0.3283
0.4774 0.4774 0.6793
0.2353 0.2353 0.9432
0.7647 0.7647 0.0568
0.6870 0.3130 0.0000
0.6409 0.0266 0.6717
0.3130 0.6870 0.0000
0.3591 0.9734 0.3283
0.6604 0.6604 0.7933
0.3396 0.3396 0.2067
0.0000 0.0000 0.0000
0.0000 0.0000 0.5000
0.7002 0.7002 0.4649
0.2998 0.2998 0.5351
0.1120 0.1120 0.6946
0.8880 0.8880 0.3054
```

Output
* crystal system: monoclinic
* polymorph energy (0 for the lowest one): 395 meV per atom
* E_tot: -9.799 eV per atom
* Fermi-level density of states: 40.26 states/eV/f.u.
* E_form: 66 meV/atom



(11)
Here is a relaxed structure of CsHgBi3 from Alexandria. Energies are from PBE.

The structure in POSCAR format:
```
CsHgBi3
1.0
7.2909 0.0000 0.0000
0.0000 6.5242 -4.0853
0.0000 0.0000 8.1714
Bi Cs Hg
6 2 2
Direct
0.0000 0.0000 0.7073
0.7500 0.7988 0.8994
0.5000 0.0000 0.7073
0.0000 0.0000 0.2927
0.2500 0.2012 0.1006
0.5000 0.0000 0.2927
0.7500 0.4730 0.2365
0.2500 0.5270 0.7635
0.2500 0.6752 0.3376
0.7500 0.3248 0.6624
```

Output
* crystal system: orthorhombic
* polymorph energy (0 for the lowest one): 0 meV per atom
* E_tot: -2.732 eV per atom
* Fermi-level density of states: 3.08 states/eV/f.u.
* E_form: -172 meV/atom



(12)
Here is a relaxed structure of Lu3Te from Alexandria. Energies are from PBE.

The structure in POSCAR format:
```
Lu3Te
1.0
3.6670 0.0000 0.0000
0.0000 3.7276 0.0000
0.0000 0.0000 9.2235
Lu Te
3 1
Direct
0.5000 0.5000 0.1564
0.5000 0.0000 0.7158
0.0000 0.5000 0.4745
0.0000 0.0000 0.9866
```

Output
* crystal system: orthorhombic
* polymorph energy (0 for the lowest one): 181 meV per atom
* E_tot: -4.469 eV per atom
* Fermi-level density of states: 4.71 states/eV/f.u.
* formation energy from raw total energies: -293 meV/atom